Record 1
VASP calculation (GGA-PBE) on a relaxed Th4IrSe2Br crystal.

Calculated values
Uncorrected formation energy, kJ/mol of atoms: -117.4

CIF file:
```
data_Th4IrSe2Br
_chemical_formula_sum 'Th4 Ir1 Se2 Br1'
_space_group_name_H-M_alt 'P 1'
_space_group_IT_number 1
_cell_length_a 7.3749
_cell_length_b 4.1225
_cell_length_c 7.4702
_cell_angle_alpha 90.00
_cell_angle_beta 108.60
_cell_angle_gamma 90.00
loop_
_space_group_symop_operation_xyz
'x,y,z'
loop_
_atom_site_label
_atom_site_fract_x
_atom_site_fract_y
_atom_site_fract_z
_atom_site_occupancy
Th1 0.2243 0.0000 0.2312 1
Th2 0.2361 0.5000 0.7490 1
Th3 0.7639 0.5000 0.2510 1
Th4 0.7757 0.0000 0.7688 1
Ir1 0.0000 0.5000 0.0000 1
Se1 0.0000 0.0000 0.5000 1
Se2 0.5000 0.5000 0.5000 1
Br1 0.5000 0.0000 0.0000 1
```



Record 2
VASP calculation (GGA-PBE) on a relaxed TiIrSe2Br crystal.

Calculated values
Uncorrected formation energy, kJ/mol of atoms: 53.2

CIF file:
```
data_TiIrSe2Br
_chemical_formula_sum 'Ti1 Ir1 Se2 Br1'
_space_group_name_H-M_alt 'P 1'
_space_group_IT_number 1
_cell_length_a 4.9259
_cell_length_b 4.9259
_cell_length_c 4.9284
_cell_angle_alpha 90.00
_cell_angle_beta 90.00
_cell_angle_gamma 90.00
loop_
_space_group_symop_operation_xyz
'x,y,z'
loop_
_atom_site_label
_atom_site_fract_x
_atom_site_fract_y
_atom_site_fract_z
_atom_site_occupancy
Ti1 0.0000 0.0000 0.0000 1
Ir1 0.5000 0.5000 0.5000 1
Se1 0.0000 0.5000 0.5000 1
Se2 0.5000 0.0000 0.5000 1
Br1 0.5000 0.5000 0.0000 1
```



Record 3
VASP calculation (GGA-PBE) on a relaxed TiIrSeBr2 crystal.

Calculated values
Uncorrected formation energy, kJ/mol of atoms: 54.5

CIF file:
```
data_TiIrSeBr2
_chemical_formula_sum 'Ti1 Ir1 Se1 Br2'
_space_group_name_H-M_alt 'P 1'
_space_group_IT_number 1
_cell_length_a 4.9623
_cell_length_b 4.9623
_cell_length_c 5.1524
_cell_angle_alpha 90.00
_cell_angle_beta 90.00
_cell_angle_gamma 90.00
loop_
_space_group_symop_operation_xyz
'x,y,z'
loop_
_atom_site_label
_atom_site_fract_x
_atom_site_fract_y
_atom_site_fract_z
_atom_site_occupancy
Ti1 0.0000 0.0000 0.0000 1
Ir1 0.5000 0.5000 0.5000 1
Se1 0.0000 0.0000 0.5000 1
Br1 0.0000 0.5000 0.0000 1
Br2 0.5000 0.0000 0.0000 1
```



Record 4
VASP calculation (GGA-PBE) on a relaxed TlIrSe2Br crystal.

Calculated values
Uncorrected formation energy, kJ/mol of atoms: 7.3

CIF file:
```
data_TlIrSe2Br
_chemical_formula_sum 'Tl1 Ir1 Se2 Br1'
_space_group_name_H-M_alt 'P 1'
_space_group_IT_number 1
_cell_length_a 4.9222
_cell_length_b 4.9222
_cell_length_c 5.4632
_cell_angle_alpha 90.00
_cell_angle_beta 90.00
_cell_angle_gamma 90.00
loop_
_space_group_symop_operation_xyz
'x,y,z'
loop_
_atom_site_label
_atom_site_fract_x
_atom_site_fract_y
_atom_site_fract_z
_atom_site_occupancy
Tl1 0.0000 0.0000 0.0000 1
Ir1 0.5000 0.5000 0.5000 1
Se1 0.0000 0.5000 0.5000 1
Se2 0.5000 0.0000 0.5000 1
Br1 0.5000 0.5000 0.0000 1
```



Record 5
VASP calculation (GGA-PBE) on a relaxed Tl2IrSeBr crystal.

Calculated values
Uncorrected formation energy, kJ/mol of atoms: 16.5

CIF file:
```
data_Tl2IrSeBr
_chemical_formula_sum 'Tl2 Ir1 Se1 Br1'
_space_group_name_H-M_alt 'P 1'
_space_group_IT_number 1
_cell_length_a 6.4072
_cell_length_b 6.4072
_cell_length_c 4.4683
_cell_angle_alpha 90.00
_cell_angle_beta 90.00
_cell_angle_gamma 90.00
loop_
_space_group_symop_operation_xyz
'x,y,z'
loop_
_atom_site_label
_atom_site_fract_x
_atom_site_fract_y
_atom_site_fract_z
_atom_site_occupancy
Tl1 0.0000 0.5000 0.0000 1
Tl2 0.5000 0.0000 0.0000 1
Ir1 0.0000 0.0000 0.5000 1
Se1 0.0000 0.0000 0.0000 1
Br1 0.5000 0.5000 0.5000 1
```



Record 6
VASP calculation (GGA-PBE) on a relaxed VIr2SeBr crystal.

Calculated values
Uncorrected formation energy, kJ/mol of atoms: 109.9

CIF file:
```
data_VIr2SeBr
_chemical_formula_sum 'V1 Ir2 Se1 Br1'
_space_group_name_H-M_alt 'P 1'
_space_group_IT_number 1
_cell_length_a 4.6826
_cell_length_b 4.6826
_cell_length_c 4.6095
_cell_angle_alpha 90.00
_cell_angle_beta 90.00
_cell_angle_gamma 90.00
loop_
_space_group_symop_operation_xyz
'x,y,z'
loop_
_atom_site_label
_atom_site_fract_x
_atom_site_fract_y
_atom_site_fract_z
_atom_site_occupancy
V1 0.0000 0.0000 0.0000 1
Ir1 0.0000 0.5000 0.0000 1
Ir2 0.5000 0.0000 0.0000 1
Se1 0.5000 0.5000 0.5000 1
Br1 0.0000 0.0000 0.5000 1
```



Record 7
VASP calculation (GGA-PBE) on a relaxed VIrSe2Br crystal.

Calculated values
Uncorrected formation energy, kJ/mol of atoms: 82.8

CIF file:
```
data_VIrSe2Br
_chemical_formula_sum 'V1 Ir1 Se2 Br1'
_space_group_name_H-M_alt 'P 1'
_space_group_IT_number 1
_cell_length_a 4.7582
_cell_length_b 4.7582
_cell_length_c 4.8385
_cell_angle_alpha 90.00
_cell_angle_beta 90.00
_cell_angle_gamma 90.00
loop_
_space_group_symop_operation_xyz
'x,y,z'
loop_
_atom_site_label
_atom_site_fract_x
_atom_site_fract_y
_atom_site_fract_z
_atom_site_occupancy
V1 0.0000 0.0000 0.0000 1
Ir1 0.5000 0.5000 0.5000 1
Se1 0.0000 0.5000 0.0000 1
Se2 0.5000 0.0000 0.0000 1
Br1 0.0000 0.0000 0.5000 1
```



Record 8
VASP calculation (GGA-PBE) on a relaxed IrWSe2Br crystal.

Calculated values
Uncorrected formation energy, kJ/mol of atoms: 121.5

CIF file:
```
data_IrWSe2Br
_chemical_formula_sum 'Ir1 W1 Se2 Br1'
_space_group_name_H-M_alt 'P 1'
_space_group_IT_number 1
_cell_length_a 4.8715
_cell_length_b 4.8715
_cell_length_c 5.0630
_cell_angle_alpha 90.00
_cell_angle_beta 90.00
_cell_angle_gamma 90.00
loop_
_space_group_symop_operation_xyz
'x,y,z'
loop_
_atom_site_label
_atom_site_fract_x
_atom_site_fract_y
_atom_site_fract_z
_atom_site_occupancy
Ir1 0.0000 0.0000 0.0000 1
W1 0.5000 0.5000 0.5000 1
Se1 0.0000 0.5000 0.5000 1
Se2 0.5000 0.0000 0.5000 1
Br1 0.5000 0.5000 0.0000 1
```



Record 9
VASP calculation (GGA-PBE) on a relaxed IrWSeBr2 crystal.

Calculated values
Uncorrected formation energy, kJ/mol of atoms: 130.8

CIF file:
```
data_IrWSeBr2
_chemical_formula_sum 'Ir1 W1 Se1 Br2'
_space_group_name_H-M_alt 'P 1'
_space_group_IT_number 1
_cell_length_a 5.0830
_cell_length_b 5.0830
_cell_length_c 4.8607
_cell_angle_alpha 90.00
_cell_angle_beta 90.00
_cell_angle_gamma 90.00
loop_
_space_group_symop_operation_xyz
'x,y,z'
loop_
_atom_site_label
_atom_site_fract_x
_atom_site_fract_y
_atom_site_fract_z
_atom_site_occupancy
Ir1 0.0000 0.0000 0.0000 1
W1 0.5000 0.5000 0.5000 1
Se1 0.5000 0.5000 0.0000 1
Br1 0.0000 0.5000 0.5000 1
Br2 0.5000 0.0000 0.5000 1
```



Record 10
VASP calculation (GGA-PBE) on a relaxed ZnIrSeBr2 crystal.

Calculated values
Uncorrected formation energy, kJ/mol of atoms: 29.9

CIF file:
```
data_ZnIrSeBr2
_chemical_formula_sum 'Zn1 Ir1 Se1 Br2'
_space_group_name_H-M_alt 'P 1'
_space_group_IT_number 1
_cell_length_a 5.2879
_cell_length_b 5.2879
_cell_length_c 4.7029
_cell_angle_alpha 90.00
_cell_angle_beta 90.00
_cell_angle_gamma 90.00
loop_
_space_group_symop_operation_xyz
'x,y,z'
loop_
_atom_site_label
_atom_site_fract_x
_atom_site_fract_y
_atom_site_fract_z
_atom_site_occupancy
Zn1 0.0000 0.0000 0.0000 1
Ir1 0.5000 0.5000 0.5000 1
Se1 0.5000 0.5000 0.0000 1
Br1 0.0000 0.5000 0.5000 1
Br2 0.5000 0.0000 0.5000 1
```



Record 11
VASP calculation (GGA-PBE) on a relaxed ZnIrSe2Br crystal.

Calculated values
Uncorrected formation energy, kJ/mol of atoms: 40.5

CIF file:
```
data_ZnIrSe2Br
_chemical_formula_sum 'Zn1 Ir1 Se2 Br1'
_space_group_name_H-M_alt 'P 1'
_space_group_IT_number 1
_cell_length_a 4.8857
_cell_length_b 4.8857
_cell_length_c 5.2631
_cell_angle_alpha 90.00
_cell_angle_beta 90.00
_cell_angle_gamma 90.00
loop_
_space_group_symop_operation_xyz
'x,y,z'
loop_
_atom_site_label
_atom_site_fract_x
_atom_site_fract_y
_atom_site_fract_z
_atom_site_occupancy
Zn1 0.0000 0.0000 0.0000 1
Ir1 0.5000 0.5000 0.5000 1
Se1 0.0000 0.5000 0.5000 1
Se2 0.5000 0.0000 0.5000 1
Br1 0.5000 0.5000 0.0000 1
```



Record 12
VASP calculation (GGA-PBE) on a relaxed ZnIrSeBr2 crystal.

Calculated values
Uncorrected formation energy, kJ/mol of atoms: 95.0

CIF file:
```
data_ZnIrSeBr2
_chemical_formula_sum 'Zn1 Ir1 Se1 Br2'
_space_group_name_H-M_alt 'P 1'
_space_group_IT_number 1
_cell_length_a 4.9155
_cell_length_b 4.9155
_cell_length_c 5.1628
_cell_angle_alpha 90.00
_cell_angle_beta 90.00
_cell_angle_gamma 90.00
loop_
_space_group_symop_operation_xyz
'x,y,z'
loop_
_atom_site_label
_atom_site_fract_x
_atom_site_fract_y
_atom_site_fract_z
_atom_site_occupancy
Zn1 0.0000 0.0000 0.0000 1
Ir1 0.5000 0.5000 0.5000 1
Se1 0.0000 0.0000 0.5000 1
Br1 0.0000 0.5000 0.0000 1
Br2 0.5000 0.0000 0.0000 1
```



Record 13
VASP calculation (GGA-PBE) on a relaxed ZnIrSe2Br crystal.

Calculated values
Uncorrected formation energy, kJ/mol of atoms: 107.7

CIF file:
```
data_ZnIrSe2Br
_chemical_formula_sum 'Zn1 Ir1 Se2 Br1'
_space_group_name_H-M_alt 'P 1'
_space_group_IT_number 1
_cell_length_a 4.8686
_cell_length_b 4.8686
_cell_length_c 4.8957
_cell_angle_alpha 90.00
_cell_angle_beta 90.00
_cell_angle_gamma 90.00
loop_
_space_group_symop_operation_xyz
'x,y,z'
loop_
_atom_site_label
_atom_site_fract_x
_atom_site_fract_y
_atom_site_fract_z
_atom_site_occupancy
Zn1 0.0000 0.0000 0.0000 1
Ir1 0.5000 0.5000 0.5000 1
Se1 0.0000 0.5000 0.0000 1
Se2 0.5000 0.0000 0.0000 1
Br1 0.0000 0.0000 0.5000 1
```



Record 14
VASP calculation (GGA-PBE) on a relaxed ZrIrSe2Br crystal.

Calculated values
Uncorrected formation energy, kJ/mol of atoms: 34.3

CIF file:
```
data_ZrIrSe2Br
_chemical_formula_sum 'Zr1 Ir1 Se2 Br1'
_space_group_name_H-M_alt 'P 1'
_space_group_IT_number 1
_cell_length_a 4.9129
_cell_length_b 4.9129
_cell_length_c 4.8743
_cell_angle_alpha 90.00
_cell_angle_beta 90.00
_cell_angle_gamma 90.00
loop_
_space_group_symop_operation_xyz
'x,y,z'
loop_
_atom_site_label
_atom_site_fract_x
_atom_site_fract_y
_atom_site_fract_z
_atom_site_occupancy
Zr1 0.0000 0.0000 0.0000 1
Ir1 0.5000 0.5000 0.5000 1
Se1 0.0000 0.5000 0.5000 1
Se2 0.5000 0.0000 0.5000 1
Br1 0.5000 0.5000 0.0000 1
```